No. 1
ZnInMo2 | PBE | relaxed

**Energy relative to the lowest polymorph listed for this composition**: 148 meV/atom
**Formation energy**: 302 meV/atom
**Raw total energy**: -6.12 eV/atom

Cell: 4.8857 4.8857 4.8857 Å, 130.12 130.12 73.21°
With the nearest neighbours (Å) after each atom.
Atoms (fractional coordinates):
Mo1 0.0000 0.0000 0.0000  4 In 2.84, 4 Mo 2.84, 4 Zn 2.91
Zn1 0.5000 0.5000 0.0000  4 In 2.84, 8 Mo 2.84-2.91
In1 0.7500 0.2500 0.5000  8 Mo 2.84-2.91, 4 Zn 2.84
Mo2 0.2500 0.7500 0.5000  4 Mo 2.84, 4 Zn 2.84, 4 In 2.91


No. 2
K3Na12Zn | PBE | relaxed

**Formation energy**: 45 meV/atom
**Raw total energy**: -1.23 eV/atom

Cell: 5.7329 5.7329 19.6786 Å, 90.00 90.00 90.00°
With the nearest neighbours (Å) after each atom.
Atoms (fractional coordinates):
K1 0.0000 0.0000 0.2198  12 Na 3.84-4.06
Na1 0.0000 0.5000 0.9103  3 Na 3.37-3.53, 2 Zn 3.37
K2 0.0000 0.0000 0.7802  12 Na 3.84-4.06
Na2 0.5000 0.5000 0.2270  8 Na 3.89-3.94, 4 K 4.06
K3 0.0000 0.0000 0.5000  12 Na 3.97-4.05
Na3 0.0000 0.5000 0.3604  8 Na 3.89-4.05, 4 K 3.97-3.98
Na4 0.5000 0.5000 0.7730  8 Na 3.89-3.94, 4 K 4.06
Na5 0.0000 0.5000 0.0897  3 Na 3.37-3.53, 2 Zn 3.37
Na6 0.0000 0.5000 0.6396  8 Na 3.89-4.05, 4 K 3.97-3.98
Na7 0.5000 0.0000 0.0897  3 Na 3.37-3.53, 2 Zn 3.37
Na8 0.5000 0.0000 0.9103  3 Na 3.37-3.53, 2 Zn 3.37
Na9 0.5000 0.5000 0.5000  8 Na 3.97, 4 K 4.05
Na10 0.5000 0.0000 0.6396  8 Na 3.89-4.05, 4 K 3.97-3.98
Na11 0.5000 0.0000 0.3604  8 Na 3.89-4.05, 4 K 3.97-3.98
Zn1 0.0000 0.0000 0.0000  8 Na 3.37
Na12 0.5000 0.5000 0.0000  8 Na 3.37


No. 3
DyIn3Cu8 | PBE | relaxed

**Energy relative to the lowest polymorph listed for this composition**: 23 meV/atom
**Formation energy**: -123 meV/atom
**Raw total energy**: -3.92 eV/atom

Cell: 5.0736 5.0736 8.4404 Å, 90.00 90.00 120.00°
With the nearest neighbours (Å) after each atom.
Atoms (fractional coordinates):
Dy1 0.0000 0.0000 0.5678  12 Cu 2.98-3.07, 4 In 3.15
Cu1 0.5006 0.4994 0.7534  6 Cu 2.53-2.63
In1 0.0000 0.0000 0.9414  12 Cu 2.96-2.99, 3 In 3.10, 1 Dy 3.15
Cu2 0.6694 0.8347 0.2473  6 Cu 2.52-2.56
Cu3 0.5006 0.0013 0.7534  6 Cu 2.53-2.63
Cu4 0.1653 0.8347 0.2473  6 Cu 2.52-2.56
Cu5 0.1653 0.3306 0.2473  6 Cu 2.52-2.56
Cu6 0.9987 0.4994 0.7534  6 Cu 2.53-2.63
In2 0.6667 0.3333 0.0617  12 Cu 2.97-2.98, 4 In 3.10-3.13
Cu7 0.3333 0.6667 0.0002  6 Cu 2.55-2.56
Cu8 0.3333 0.6667 0.4946  6 Cu 2.56-2.63
In3 0.6667 0.3333 0.4320  12 Cu 2.98-3.08, 1 In 3.13, 3 Dy 3.15


No. 4
Ac5MoN8 | PBE | relaxed

**Raw total energy**: -7.60 eV/atom
**Uncorrected formation energy**: -0.601 eV/atom

Cell: 7.3994 7.3994 7.3994 Å, 119.97 90.06 119.97°
With the nearest neighbours (Å) after each atom.
Atoms (fractional coordinates):
N1 0.0810 0.7281 0.3682  4 Ac 2.44-2.53
N2 0.5650 0.7144 0.8590  1 Mo 1.90
Ac1 0.8886 0.2662 0.1259  3 N 2.44-2.49
N3 0.1410 0.7059 0.8553  1 Mo 1.90
N4 0.1447 0.2856 0.8506  1 Mo 1.90
Ac2 0.5000 0.0000 0.5000  4 N 2.53
Ac3 0.3776 0.2374 0.1114  3 N 2.44-2.49
N5 0.1494 0.2941 0.4350  1 Mo 1.90
Mo1 0.2500 0.5000 0.7500  4 N 1.90
Ac4 0.8598 0.7338 0.6224  3 N 2.44-2.49
N6 0.6401 0.2719 0.3530  4 Ac 2.44-2.53
N7 0.6470 0.2871 0.9190  4 Ac 2.44-2.53
N8 0.6318 0.7129 0.3599  4 Ac 2.44-2.53
Ac5 0.8741 0.7626 0.1402  3 N 2.44-2.49


No. 5
Zn2Te | PBE | relaxed

**Energy relative to the lowest polymorph listed for this composition**: 127 meV/atom
**Raw total energy**: -1.89 eV/atom
**Uncorrected formation energy**: 0.006 eV/atom

Cell: 4.0392 4.0392 9.5055 Å, 90.00 90.00 120.00°
With the nearest neighbours (Å) after each atom.
Atoms (fractional coordinates):
Zn1 0.6667 0.3333 0.0777  3 Zn 2.76, 3 Te 2.85
Zn2 0.3333 0.6667 0.9223  3 Zn 2.76, 3 Te 2.85
Te1 0.0000 0.0000 0.7500  6 Zn 2.85
Zn3 0.3333 0.6667 0.5777  3 Zn 2.76, 3 Te 2.85
Te2 0.0000 0.0000 0.2500  6 Zn 2.85
Zn4 0.6667 0.3333 0.4223  3 Zn 2.76, 3 Te 2.85


No. 6
SmCo3Si3 | PBE | relaxed

**Energy relative to the lowest polymorph listed for this composition**: 99 meV/atom
**Raw total energy**: -6.26 eV/atom
**Uncorrected formation energy**: -0.214 eV/atom

Cell: 6.1881 6.1881 6.1881 Å, 90.00 90.00 90.00°
With the nearest neighbours (Å) after each atom.
Atoms (fractional coordinates):
Si1 0.5000 0.0000 0.7500  4 Co 2.19
Co1 0.2500 0.0000 0.5000  4 Si 2.19
Si2 0.0000 0.7500 0.5000  4 Co 2.19
Co2 0.0000 0.5000 0.2500  4 Si 2.19
Si3 0.5000 0.0000 0.2500  4 Co 2.19
Si4 0.2500 0.5000 0.0000  4 Co 2.19
Co3 0.5000 0.2500 0.0000  4 Si 2.19
Sm1 0.0000 0.0000 0.0000  12 Co 3.46, 12 Si 3.46
Sm2 0.5000 0.5000 0.5000  12 Co 3.46, 12 Si 3.46
Co4 0.0000 0.5000 0.7500  4 Si 2.19
Si5 0.0000 0.2500 0.5000  4 Co 2.19
Co5 0.7500 0.0000 0.5000  4 Si 2.19
Si6 0.7500 0.5000 0.0000  4 Co 2.19
Co6 0.5000 0.7500 0.0000  4 Si 2.19